Record 1
A relaxed Tb4Tm3PaAs8 crystal. Source: the Alexandria database, functional GGA-PBE.

Output
**Energy**: -6.389 eV/atom
**E_form**: -1475 meV/atom

abc: 8.1947 8.2040 8.1951
angles: 119.96 120.00 90.00
Fractional positions:
1 Tb 0.5000 0.0000 0.0000
2 Tb 0.5000 0.0000 0.5000
3 Tb 0.0000 0.0000 0.0000
4 Tb 0.0000 0.0000 0.5000
5 Tm 0.5000 0.5000 0.0000
6 Tm 0.5000 0.5000 0.5000
7 Tm 0.0000 0.5000 0.5000
8 Pa 0.0000 0.5000 0.0000
9 As 0.2473 0.7441 0.9967
10 As 0.2474 0.7441 0.4947
11 As 0.2517 0.2550 0.5034
12 As 0.7494 0.7441 0.9967
13 As 0.2506 0.2559 0.0033
14 As 0.7483 0.7450 0.4966
15 As 0.7526 0.2559 0.5053
16 As 0.7527 0.2559 0.0033

=====

Record 2
A relaxed TbTm2PaAs4 crystal. Source: the Alexandria database, functional GGA-PBE.

Output
**Energy**: -6.607 eV/atom
**E_form**: -1398 meV/atom

abc: 4.0932 7.0549 7.0784
angles: 70.50 90.00 90.00
Last column: magnetic moment on the atom in μB.
Fractional positions:
1 Tb 0.5000 0.5000 0.0000  0.01
2 Tm 0.0000 0.0000 0.0000  0.01
3 Tm 0.5000 0.0000 0.5000  0.01
4 Pa 0.0000 0.5000 0.5000  0.25
5 As 0.0000 0.7524 0.7456  0.00
6 As 0.0000 0.2476 0.2544  0.00
7 As 0.5000 0.7527 0.2507  -0.01
8 As 0.5000 0.2473 0.7493  -0.01

=====

Record 3
A relaxed Tb2TmPaAs4 crystal. Source: the Alexandria database, functional GGA-PBE.

Output
**Energy**: -6.641 eV/atom
**E_form**: -1413 meV/atom

abc: 4.1112 7.0896 7.1126
angles: 109.47 90.00 90.00
Fractional positions:
1 Tb 0.5000 0.0000 0.5000
2 Tb 0.0000 0.5000 0.5000
3 Tm 0.0000 0.0000 0.0000
4 Pa 0.5000 0.5000 0.0000
5 As 0.5000 0.2493 0.2438
6 As 0.5000 0.7507 0.7562
7 As 0.0000 0.2511 0.7545
8 As 0.0000 0.7489 0.2455

=====

Record 4
A relaxed TbUPa2As4 crystal. Source: the Alexandria database, functional GGA-PBE.

Output
**Energy**: -7.774 eV/atom
**E_form**: -1085 meV/atom

abc: 4.0901 7.1340 7.0820
angles: 109.31 90.00 90.00
Last column: magnetic moment on the atom in μB.
Fractional positions:
1 Tb 0.5000 0.5000 0.0000  -0.01
2 U 0.0000 0.0000 0.0000  2.24
3 Pa 0.5000 0.0000 0.5000  0.20
4 Pa 0.0000 0.5000 0.5000  0.28
5 As 0.5000 0.2499 0.2501  -0.03
6 As 0.5000 0.7501 0.7499  -0.03
7 As 0.0000 0.2487 0.7486  -0.01
8 As 0.0000 0.7513 0.2514  -0.01

=====

Record 5
A relaxed Tb3UPa2As6 crystal. Source: the Alexandria database, functional GGA-PBE.

Output
**Energy**: -7.242 eV/atom
**E_form**: -1236 meV/atom

abc: 4.1028 8.2411 9.2091
angles: 103.37 102.87 90.00
Last column: magnetic moment on the atom in μB.
Fractional positions:
1 Tb 0.5000 0.5000 0.0000  0.00
2 Tb 0.8328 0.1676 0.6656  0.00
3 Tb 0.1672 0.8324 0.3344  0.00
4 U 0.5000 0.0000 0.0000  2.27
5 Pa 0.8349 0.6700 0.6697  0.29
6 Pa 0.1651 0.3300 0.3303  0.29
7 As 0.3341 0.9162 0.6681  -0.02
8 As 0.6681 0.5801 0.3361  -0.01
9 As 0.6659 0.0838 0.3319  -0.02
10 As 0.0001 0.2483 0.0002  -0.03
11 As 0.9999 0.7517 0.9998  -0.03
12 As 0.3319 0.4199 0.6639  -0.01

=====

Record 6
A relaxed Tb2YPaAs4 crystal. Source: the Alexandria database, functional GGA-PBE.

Output
**Energy**: -6.905 eV/atom
**E_form**: -1428 meV/atom

abc: 4.1254 7.1227 7.1304
angles: 109.47 90.00 90.00
Fractional positions:
1 Tb 0.5000 0.0000 0.5000
2 Tb 0.0000 0.5000 0.5000
3 Y 0.0000 0.0000 0.0000
4 Pa 0.5000 0.5000 0.0000
5 As 0.5000 0.2526 0.2465
6 As 0.5000 0.7474 0.7535
7 As 0.0000 0.2529 0.7533
8 As 0.0000 0.7471 0.2467

=====

> What is the formula in the fifth record?

Tb3UPa2As6

=====

> Which of these has the lowest E_form?

Tb4Tm3PaAs8

=====

> Among the records above, which one has the highest energy?

Tb4Tm3PaAs8

=====

> energy of number 3 (Tb2TmPaAs4)?

-6.641 eV/atom